Below is crystalline CrTc12B6 at its relaxed geometry, with properties calculated at the PBE level.

Lattice parameters (Å, degrees): 6.5938 6.5938 6.5938 109.47 109.47 109.47
Closest atoms and distances in Å follow each position.
Sites, in units of the cell vectors:
1 Cr 0.0000 0.0000 0.0000  12 Tc 2.66
2 Tc 0.1112 0.2961 0.8151  3 B 2.17-2.28
3 Tc 0.1849 0.4810 0.2961  3 B 2.17-2.28
4 Tc 0.1849 0.8888 0.7039  3 B 2.17-2.28
5 Tc 0.2961 0.1849 0.4810  3 B 2.17-2.28
6 Tc 0.2961 0.8151 0.1112  3 B 2.17-2.28
7 Tc 0.4810 0.2961 0.1849  3 B 2.17-2.28
8 Tc 0.5190 0.7039 0.8151  3 B 2.17-2.28
9 Tc 0.7039 0.1849 0.8888  3 B 2.17-2.28
10 Tc 0.7039 0.8151 0.5190  3 B 2.17-2.28
11 Tc 0.8151 0.1112 0.2961  3 B 2.17-2.28
12 Tc 0.8151 0.5190 0.7039  3 B 2.17-2.28
13 Tc 0.8888 0.7039 0.1849  3 B 2.17-2.28
14 B 0.1166 0.5000 0.6166  1 B 1.78
15 B 0.3834 0.8834 0.5000  1 B 1.78
16 B 0.5000 0.3834 0.8834  1 B 1.78
17 B 0.5000 0.6166 0.1166  1 B 1.78
18 B 0.6166 0.1166 0.5000  1 B 1.78
19 B 0.8834 0.5000 0.3834  1 B 1.78

Properties
VASP energy: -0.694 Ry per atom
Formation enthalpy at 0 K: -0.284 eV per atom
Fermi-level density of states: 11.515 states/eV/f.u.

***

Below is crystalline CrTcB2 at its relaxed geometry, with properties calculated at the PBE level.

Lattice parameters (Å, degrees): 3.7605 3.7605 3.7605 60.00 60.00 60.00
Closest atoms and distances in Å follow each position.
Sites, in units of the cell vectors:
1 Cr 0.0000 0.0000 0.0000  8 B 2.30
2 Tc 0.5000 0.5000 0.5000  8 B 2.30
3 B 0.2500 0.2500 0.2500  4 Cr 2.30, 4 Tc 2.30
4 B 0.7500 0.7500 0.7500  4 Cr 2.30, 4 Tc 2.30

Properties
VASP energy: -0.602 Ry per atom
Formation enthalpy at 0 K: 0.144 eV per atom
Polymorph energy (0 for the lowest one): 0 meV per atom
Fermi-level density of states: 3.582 states/eV/f.u.

***

Below is crystalline Cr3Tc3B4 at its relaxed geometry, with properties calculated at the PBE level.

Lattice parameters (Å, degrees): 2.9673 5.7927 5.7927 89.16 90.00 90.00
Closest atoms and distances in Å follow each position.
Sites, in units of the cell vectors:
1 Cr 0.0000 0.0000 0.0000  6 B 2.21-2.23
2 Cr 0.5000 0.3208 0.8305  4 B 2.25-2.43
3 Cr 0.5000 0.8305 0.3208  4 B 2.25-2.43
4 Tc 0.0000 0.1514 0.4996  6 B 2.27-2.29
5 Tc 0.0000 0.4996 0.1514  6 B 2.27-2.29
6 Tc 0.0000 0.6566 0.6566  6 B 2.28-2.29
7 B 0.5000 0.2014 0.2014  1 B 2.01, 4 Cr 2.23-2.25
8 B 0.5000 0.4449 0.4449  1 B 2.01
9 B 0.5000 0.7217 0.9484  1 B 1.84
10 B 0.5000 0.9484 0.7217  1 B 1.84

Properties
VASP energy: -0.662 Ry per atom
Formation enthalpy at 0 K: -0.338 eV per atom
Fermi-level density of states: 7.687 states/eV/f.u.

***

Below is crystalline CrTc3B at its relaxed geometry, with properties calculated at the PBE level.

Lattice parameters (Å, degrees): 4.0521 4.0521 4.0521 90.00 90.00 90.00
Closest atoms and distances in Å follow each position.
Sites, in units of the cell vectors:
1 Cr 0.0000 0.0000 0.0000  12 Tc 2.87
2 Tc 0.0000 0.5000 0.5000  2 B 2.03
3 Tc 0.5000 0.0000 0.5000  2 B 2.03
4 Tc 0.5000 0.5000 0.0000  2 B 2.03
5 B 0.5000 0.5000 0.5000  6 Tc 2.03

Properties
VASP energy: -0.678 Ry per atom
Formation enthalpy at 0 K: 0.257 eV per atom
Polymorph energy (0 for the lowest one): 232 meV per atom
Fermi-level density of states: 4.837 states/eV/f.u.

***

Below is crystalline Cr4TcB4 at its relaxed geometry, with properties calculated at the PBE level.

Lattice parameters (Å, degrees): 6.6813 6.6813 4.1138 90.00 90.00 90.00
Closest atoms and distances in Å follow each position.
Sites, in units of the cell vectors:
1 Cr 0.1044 0.6344 0.1204  5 B 2.09-2.19
2 Cr 0.1344 0.8956 0.6204  5 B 2.09-2.19
3 Cr 0.3656 0.6044 0.6204  5 B 2.09-2.19
4 Cr 0.3956 0.8656 0.1204  5 B 2.09-2.19
5 Cr 0.6044 0.1344 0.8796  5 B 2.09-2.19
6 Cr 0.6344 0.3956 0.3796  5 B 2.09-2.19
7 Cr 0.8656 0.1044 0.3796  5 B 2.09-2.19
8 Cr 0.8956 0.3656 0.8796  5 B 2.09-2.19
9 Tc 0.2500 0.2500 0.2500  4 B 2.24
10 Tc 0.7500 0.7500 0.7500  4 B 2.24
11 B 0.0374 0.5989 0.6195  1 B 1.72
12 B 0.0989 0.9626 0.1195  1 B 1.72
13 B 0.4011 0.5374 0.1195  1 B 1.72
14 B 0.4626 0.9011 0.6195  1 B 1.72
15 B 0.5374 0.0989 0.3805  1 B 1.72
16 B 0.5989 0.4626 0.8805  1 B 1.72
17 B 0.9011 0.0374 0.8805  1 B 1.72
18 B 0.9626 0.4011 0.3805  1 B 1.72

Properties
VASP energy: -0.622 Ry per atom
Formation enthalpy at 0 K: -0.070 eV per atom
Fermi-level density of states: 8.313 states/eV/f.u.

***

Below is crystalline Cr2TcB6 at its relaxed geometry, with properties calculated at the PBE level.

Lattice parameters (Å, degrees): 5.1873 5.1873 3.1282 90.00 90.00 120.00
Closest atoms and distances in Å follow each position.
Sites, in units of the cell vectors:
1 Cr 0.3333 0.6667 0.0000  12 B 2.32
2 Cr 0.6667 0.3333 0.0000  12 B 2.32
3 Tc 0.0000 0.0000 0.0000  12 B 2.35
4 B 0.0000 0.3369 0.5000  3 B 1.69-1.75
5 B 0.0000 0.6631 0.5000  3 B 1.69-1.75
6 B 0.3369 0.0000 0.5000  3 B 1.69-1.75
7 B 0.3369 0.3369 0.5000  3 B 1.69-1.75
8 B 0.6631 0.0000 0.5000  3 B 1.69-1.75
9 B 0.6631 0.6631 0.5000  3 B 1.69-1.75

Properties
VASP energy: -0.587 Ry per atom
Formation enthalpy at 0 K: -0.241 eV per atom
Fermi-level density of states: 4.835 states/eV/f.u.

***

Below is crystalline CrTcB2 at its relaxed geometry, with properties calculated at the PBE level.

Lattice parameters (Å, degrees): 4.7326 4.7326 4.7326 108.98 108.98 110.45
Closest atoms and distances in Å follow each position.
Sites, in units of the cell vectors:
1 Cr 0.0000 0.0000 0.0000  4 B 2.02
2 Cr 0.7500 0.2500 0.5000  4 B 2.02
3 Tc 0.2500 0.7500 0.5000  4 B 2.10
4 Tc 0.5000 0.5000 0.0000  4 B 2.10
5 B 0.1143 0.6250 0.9893  2 Cr 2.02, 2 Tc 2.10
6 B 0.3750 0.3643 0.4893  2 Cr 2.02, 2 Tc 2.10
7 B 0.6357 0.1250 0.0107  2 Cr 2.02, 2 Tc 2.10
8 B 0.8750 0.8857 0.5107  2 Cr 2.02, 2 Tc 2.10

Properties
VASP energy: -0.597 Ry per atom
Formation enthalpy at 0 K: 0.207 eV per atom
Polymorph energy (0 for the lowest one): 63 meV per atom
Fermi-level density of states: 2.151 states/eV/f.u.

***

Below is crystalline CrTc3B at its relaxed geometry, with properties calculated at the PBE level.

Lattice parameters (Å, degrees): 4.3827 4.3827 4.3827 90.00 90.00 90.00
Closest atoms and distances in Å follow each position.
Sites, in units of the cell vectors:
1 Cr 0.0000 0.0000 0.0000  6 Tc 2.19
2 Tc 0.0000 0.0000 0.5000  2 Cr 2.19
3 Tc 0.0000 0.5000 0.0000  2 Cr 2.19
4 Tc 0.5000 0.0000 0.0000  2 Cr 2.19
5 B 0.5000 0.5000 0.5000  12 Tc 3.10

Properties
VASP energy: -0.547 Ry per atom
Formation enthalpy at 0 K: 2.032 eV per atom
Polymorph energy (0 for the lowest one): 2007 meV per atom
Fermi-level density of states: 5.010 states/eV/f.u.

***

Below is crystalline Zn2CrTcB at its relaxed geometry, with properties calculated at the PBE level.

Lattice parameters (Å, degrees): 3.9998 3.9998 4.0049 90.00 90.00 90.00
Closest atoms and distances in Å follow each position.
Sites, in units of the cell vectors:
1 Zn 0.0000 0.5000 0.0000  2 B 2.00
2 Zn 0.5000 0.0000 0.0000  2 B 2.00
3 Cr 0.0000 0.0000 0.5000  2 B 2.00
4 Tc 0.5000 0.5000 0.5000  4 Cr 2.83, 8 Zn 2.83
5 B 0.0000 0.0000 0.0000  4 Zn 2.00, 2 Cr 2.00

Properties
VASP energy: -0.381 Ry per atom
Formation enthalpy at 0 K: 0.653 eV per atom
Fermi-level density of states: 5.607 states/eV/f.u.

***

Below is crystalline CrBTe3 at its relaxed geometry, with properties calculated at the PBE level.

Lattice parameters (Å, degrees): 5.2095 5.2095 5.2095 90.00 90.00 90.00
Closest atoms and distances in Å follow each position.
Sites, in units of the cell vectors:
1 Cr 0.0000 0.0000 0.0000  6 Te 2.60
2 B 0.5000 0.5000 0.5000  12 Te 3.68
3 Te 0.0000 0.0000 0.5000  2 Cr 2.60
4 Te 0.0000 0.5000 0.0000  2 Cr 2.60
5 Te 0.5000 0.0000 0.0000  2 Cr 2.60

Properties
VASP energy: -0.291 Ry per atom
Polymorph energy (0 for the lowest one): 0 meV per atom
Energy relative to the elements, uncorrected: 1.186 eV per atom
Fermi-level density of states: 5.538 states/eV/f.u.

***

Below is crystalline CrB3Te at its relaxed geometry, with properties calculated at the PBE level.

Lattice parameters (Å, degrees): 4.0395 4.0395 4.0395 90.00 90.00 90.00
Closest atoms and distances in Å follow each position.
Sites, in units of the cell vectors:
1 Cr 0.0000 0.0000 0.0000  6 B 2.02
2 B 0.0000 0.0000 0.5000  2 Cr 2.02
3 B 0.0000 0.5000 0.0000  2 Cr 2.02
4 B 0.5000 0.0000 0.0000  2 Cr 2.02
5 Te 0.5000 0.5000 0.5000  12 B 2.86

Properties
VASP energy: -0.376 Ry per atom
Polymorph energy (0 for the lowest one): 0 meV per atom
Energy relative to the elements, uncorrected: 1.447 eV per atom
Fermi-level density of states: 3.137 states/eV/f.u.

***

Below is crystalline Cr2BTe2 at its relaxed geometry, with properties calculated at the PBE level.

Lattice parameters (Å, degrees): 6.1532 6.1532 4.9838 90.00 90.00 90.00
Closest atoms and distances in Å follow each position.
Sites, in units of the cell vectors:
1 Cr 0.1987 0.3013 0.0000  2 B 2.22
2 Cr 0.3013 0.8013 0.0000  2 B 2.22
3 Cr 0.6987 0.1987 0.0000  2 B 2.22
4 Cr 0.8013 0.6987 0.0000  2 B 2.22
5 B 0.0000 0.0000 0.0000  4 Cr 2.22
6 B 0.5000 0.5000 0.0000  4 Cr 2.22
7 Te 0.1797 0.6797 0.5000  2 Cr 2.71
8 Te 0.3203 0.1797 0.5000  2 Cr 2.71
9 Te 0.6797 0.8203 0.5000  2 Cr 2.71
10 Te 0.8203 0.3203 0.5000  2 Cr 2.71

Properties
VASP energy: -0.425 Ry per atom
Polymorph energy (0 for the lowest one): 0 meV per atom
Energy relative to the elements, uncorrected: 0.658 eV per atom
Fermi-level density of states: 2.840 states/eV/f.u.